VASP calculation (PBE-GGA) on a relaxed structure of Cu2HPd.

Results
Relative energy among the computed polymorphs (eV per atom): 0.109
Space group: No. 122
V (Å³/cell): 89.11

The structure in extended XYZ format:
```
8
Lattice="-2.9665 4.5561 0.8516 -2.4390 -2.3943 4.3130 -0.5953 2.1223 4.3522" Properties=species:S:1:pos:R:3 pbc="T T T"
Cu -4.8424 3.8111 7.1927
Cu -2.8075 2.0746 5.7915
Cu -2.4502 0.2275 4.0068
Cu -1.9016 2.4550 2.0428
H -2.7028 1.0809 2.5823
H -2.8685 0.4045 5.6238
Pd -3.1323 3.8796 3.8931
Pd 0.0000 0.0000 0.0000
```